1.
{
  "formula": "LiCu2Pt",
  "functional": "PBEsol",
  "state": "relaxed",
  "density_g_cm3": 11.0,
  "relative_energy_mev_per_atom": 68.0,
  "vol_a3_per_cell": 49.70,
  "energy_ev_per_cell": -18.301,
  "space_group": "Pmm2 (25)",
  "cell": [[2.653, 0.000, 0.000], [0.000, 3.634, 0.000], [0.000, 0.000, 5.156]],
  "species": ["Pt", "Cu", "Cu", "Li"],
  "frac_coords": [[0.500, 0.500, 0.746], [0.500, 0.500, 0.245], [0.000, 0.000, 0.008], [0.000, 0.000, 0.501]]
}

=====

2.
{
  "formula": "NaBSbN2",
  "functional": "PBEsol",
  "state": "relaxed",
  "density_g_cm3": 5.1,
  "formation_energy_uncorrected_ev_per_fu": 7.81,
  "vol_a3_per_cell": 59.92,
  "energy_ev_per_cell": -22.219,
  "space_group": "P4/mmm (123)",
  "cell": [[3.596, 0.000, 0.000], [0.000, 3.596, 0.000], [0.000, 0.000, 4.634]],
  "species": ["Sb", "N", "N", "B", "Na"],
  "frac_coords": [[0.500, 0.500, 0.500], [0.500, 0.000, 0.000], [0.000, 0.500, 0.000], [0.000, 0.000, 0.000], [0.000, 0.000, 0.500]]
}

=====

Question: What is the formula in the first record?
Answer: LiCu2Pt